Below is a relaxed Sc2TaOs crystal, with properties calculated at the PBE level.

```
Sc2TaOs
1.0
4.6828 0.0000 0.0000
0.0000 4.6828 0.0000
0.0000 0.0000 3.3150
Sc Ta Os
2 1 1
Direct
0.5000 0.5000 0.0000
0.0000 0.0000 0.0000
0.5000 0.0000 0.5000
0.0000 0.5000 0.5000
```

energy of formation from the pure elements = 0.5 eV per formula unit
space-group type = No. 123

---

Below is a relaxed ScTa2Os2 crystal, with properties calculated at the PBE level.

```
ScTa2Os2
1.0
-1.0447 2.7650 1.1928
-3.9958 -1.9500 1.0206
4.6128 -4.3226 9.8014
Ta Os Sc
4 4 2
Direct
0.7559 0.2500 0.5119
0.9496 0.2500 0.8992
0.2441 0.7500 0.4881
0.0504 0.7500 0.1008
0.4545 0.7500 0.9090
0.3537 0.2500 0.7073
0.5455 0.2500 0.0910
0.6463 0.7500 0.2927
0.1467 0.2500 0.2935
0.8533 0.7500 0.7065
```

energy of formation from the pure elements = -1.9 eV per formula unit
space-group type = No. 63

---

Number 1: DOS at the Fermi energy 4.7 states/eV/cell, size of the total moment 0.0 μB per cell, polymorph energy (0 for the lowest one) 33.1 kJ/mol of atoms. Number 2: DOS at the Fermi energy 3.0 states/eV/cell, size of the total moment 0.0 μB per cell, polymorph energy (0 for the lowest one) 0.0 kJ/mol of atoms.